# 1
Density functional theory data (SCAN) for Al2RhCl at its PBEsol-relaxed geometry. Values from VASP.

Structure (Quantum ESPRESSO input):
```
&SYSTEM
  ibrav = 0, nat = 4, ntyp = 3
/
ATOMIC_SPECIES
Al 26.98 Al.upf
Rh 102.91 Rh.upf
Cl 35.45 Cl.upf
CELL_PARAMETERS angstrom
3.3028 -3.3010 0.0000
3.3028 3.3010 0.0000
-0.0186 0.0000 2.8120
ATOMIC_POSITIONS crystal
Al 0.0000 0.5000 0.0000
Al 0.5000 0.0000 0.0000
Rh 0.0000 0.0000 0.5000
Cl 0.5000 0.5000 0.5000
```

Results
- Raw total energy: -58.8 eV/cell
- Total magnetization: 0.00 μB/f.u.
- Volume: 61.3 Å³ per cell
- Space-group type: C2/m, No. 12
- ΔE_f (raw): -146 kJ/mol of formula units

# 2
Density functional theory data (SCAN) for AlRhCl4 at its PBEsol-relaxed geometry. Values from VASP.

Structure (Quantum ESPRESSO input):
```
&SYSTEM
  ibrav = 0, nat = 6, ntyp = 3
/
ATOMIC_SPECIES
Al 26.98 Al.upf
Rh 102.91 Rh.upf
Cl 35.45 Cl.upf
CELL_PARAMETERS angstrom
0.0000 3.9512 3.9512
3.9512 0.0000 3.9512
3.9512 3.9512 0.0000
ATOMIC_POSITIONS crystal
Al 0.0000 0.0000 0.0000
Rh 0.7500 0.7500 0.7500
Cl 0.3755 0.3755 0.3755
Cl 0.3755 0.3755 0.8736
Cl 0.3755 0.8736 0.3755
Cl 0.8736 0.3755 0.3755
```

Results
- Raw total energy: -68.5 eV/cell
- Total magnetization: 0.07 μB/f.u.
- Volume: 123.4 Å³ per cell
- Space-group type: F-43m, No. 216
- ΔE_f (raw): 473 kJ/mol of formula units

# 3
Density functional theory data (SCAN) for YAlRhCl2 at its PBEsol-relaxed geometry. Values from VASP.

Structure (Quantum ESPRESSO input):
```
&SYSTEM
  ibrav = 0, nat = 5, ntyp = 4
/
ATOMIC_SPECIES
Y 88.91 Y.upf
Al 26.98 Al.upf
Rh 102.91 Rh.upf
Cl 35.45 Cl.upf
CELL_PARAMETERS angstrom
4.9149 0.0000 0.0000
0.0000 4.9149 0.0000
0.0000 0.0000 6.2643
ATOMIC_POSITIONS crystal
Y 0.0000 0.0000 0.0000
Al 0.0000 0.0000 0.5000
Rh 0.5000 0.5000 0.5000
Cl 0.0000 0.5000 0.0000
Cl 0.5000 0.0000 0.0000
```

Results
- Raw total energy: -85.8 eV/cell
- Total magnetization: 1.94 μB/f.u.
- Volume: 151.3 Å³ per cell
- Space-group type: P4/mmm, No. 123
- ΔE_f (raw): -50 kJ/mol of formula units

# 4
Density functional theory data (SCAN) for AlRuCl2 at its PBEsol-relaxed geometry. Values from VASP.

Structure (Quantum ESPRESSO input):
```
&SYSTEM
  ibrav = 0, nat = 4, ntyp = 3
/
ATOMIC_SPECIES
Al 26.98 Al.upf
Ru 101.07 Ru.upf
Cl 35.45 Cl.upf
CELL_PARAMETERS angstrom
3.7206 0.0000 0.0000
0.0000 3.0355 0.0000
-1.1124 0.0000 6.9087
ATOMIC_POSITIONS crystal
Al 0.0000 0.0000 0.0000
Ru 0.4613 0.5000 0.8875
Cl 0.3671 0.0000 0.6191
Cl 0.7742 0.5000 0.2267
```

Results
- Raw total energy: -60.5 eV/cell
- Total magnetization: 0.88 μB/f.u.
- Volume: 78.0 Å³ per cell
- Space-group type: Pm, No. 6
- ΔE_f (raw): -191 kJ/mol of formula units

# 5
Density functional theory data (SCAN) for Al4RuCl at its PBEsol-relaxed geometry. Values from VASP.

Structure (Quantum ESPRESSO input):
```
&SYSTEM
  ibrav = 0, nat = 6, ntyp = 3
/
ATOMIC_SPECIES
Al 26.98 Al.upf
Ru 101.07 Ru.upf
Cl 35.45 Cl.upf
CELL_PARAMETERS angstrom
0.0000 3.6497 3.6497
3.6497 0.0000 3.6497
3.6497 3.6497 0.0000
ATOMIC_POSITIONS crystal
Al 0.3759 0.3759 0.3759
Al 0.3759 0.3759 0.8722
Al 0.3759 0.8722 0.3759
Al 0.8722 0.3759 0.3759
Ru 0.7500 0.7500 0.7500
Cl 0.0000 0.0000 0.0000
```

Results
- Raw total energy: -71.7 eV/cell
- Total magnetization: 0.91 μB/f.u.
- Volume: 97.2 Å³ per cell
- Space-group type: F-43m, No. 216
- ΔE_f (raw): 200 kJ/mol of formula units

# 6
Density functional theory data (SCAN) for AlSCl2 at its PBEsol-relaxed geometry. Values from VASP.

Structure (Quantum ESPRESSO input):
```
&SYSTEM
  ibrav = 0, nat = 4, ntyp = 3
/
ATOMIC_SPECIES
Al 26.98 Al.upf
S 32.06 S.upf
Cl 35.45 Cl.upf
CELL_PARAMETERS angstrom
1.6181 0.9342 9.1592
-1.6181 0.9342 9.1592
0.0000 -1.8684 9.1592
ATOMIC_POSITIONS crystal
Al 0.0000 0.0000 0.0000
S 0.5000 0.5000 0.5000
Cl 0.3892 0.3892 0.3892
Cl 0.6108 0.6108 0.6108
```

Results
- Raw total energy: -33.6 eV/cell
- Total magnetization: 0.35 μB/f.u.
- Volume: 83.1 Å³ per cell
- Space-group type: R-3m, No. 166
- ΔE_f (raw): -28 kJ/mol of formula units

Question: Which of these has the highest total magnetization?
Answer: YAlRhCl2

Question: raw total energy of number 2 (AlRhCl4)?
Answer: -68.5 eV/cell

Please write out number 5 again, unchanged.
Density functional theory data (SCAN) for Al4RuCl at its PBEsol-relaxed geometry. Values from VASP.

Structure (Quantum ESPRESSO input):
```
&SYSTEM
  ibrav = 0, nat = 6, ntyp = 3
/
ATOMIC_SPECIES
Al 26.98 Al.upf
Ru 101.07 Ru.upf
Cl 35.45 Cl.upf
CELL_PARAMETERS angstrom
0.0000 3.6497 3.6497
3.6497 0.0000 3.6497
3.6497 3.6497 0.0000
ATOMIC_POSITIONS crystal
Al 0.3759 0.3759 0.3759
Al 0.3759 0.3759 0.8722
Al 0.3759 0.8722 0.3759
Al 0.8722 0.3759 0.3759
Ru 0.7500 0.7500 0.7500
Cl 0.0000 0.0000 0.0000
```

Results
- Raw total energy: -71.7 eV/cell
- Total magnetization: 0.91 μB/f.u.
- Volume: 97.2 Å³ per cell
- Space-group type: F-43m, No. 216
- ΔE_f (raw): 200 kJ/mol of formula units